# 1
VASP calculation (meta-GGA SCAN) on a crystal of Rb3CrF6 relaxed with PBEsol.

```
10
Lattice="6.863 0.111 -0.076 -1.681 6.655 -0.084 -1.469 -1.911 6.428" Properties=species:S:1:pos:R:3 pbc="T T T"
Cr 0.000 0.000 0.000
Rb -0.735 -0.955 3.214
Rb 3.432 0.055 -0.038
Rb -0.841 3.327 -0.042
F 5.853 1.086 1.239
F -2.140 3.769 5.028
F -0.478 5.934 1.234
F 4.191 -1.080 5.034
F -0.320 -0.412 6.058
F 4.033 5.266 0.210
```

**Energy relative to the elements, uncorrected**: -3018 meV per atom

# 2
VASP calculation (meta-GGA SCAN) on a crystal of IrRuPt relaxed with PBEsol.

```
3
Lattice="-3.566 -0.952 1.904 -3.185 -1.514 -2.193 -1.122 -3.974 0.441" Properties=species:S:1:pos:R:3 pbc="T T T"
Ir -1.968 -1.610 0.038
Pt 0.000 0.000 0.000
Ru -3.936 -3.220 0.076
```

**E above lowest polymorph**: 601 meV/atom
**DFT formation energy**: 0.550 eV per atom

# 3
VASP calculation (meta-GGA SCAN) on a crystal of Li2Ca2Cd relaxed with PBEsol.

```
5
Lattice="-1.754 -1.315 -3.154 -3.033 -1.035 2.118 -1.436 9.579 -0.858" Properties=species:S:1:pos:R:3 pbc="T T T"
Ca -3.086 6.772 -1.108
Ca -3.137 0.457 -0.785
Cd 0.000 0.000 0.000
Li -3.431 3.684 0.371
Li -2.792 3.544 -2.265
```

**E above lowest polymorph**: 4 meV/atom
**DFT formation energy**: -0.106 eV per atom

# 4
VASP calculation (meta-GGA SCAN) on a crystal of LaTcN2O relaxed with PBEsol.

```
5
Lattice="3.853 0.000 0.000 0.000 3.853 0.000 0.000 0.000 4.041" Properties=species:S:1:pos:R:3 pbc="T T T"
N 0.000 1.927 0.000
N 1.927 0.000 0.000
Tc 0.000 0.000 0.000
O 0.000 0.000 2.021
La 1.927 1.927 2.021
```

**Energy relative to the elements, uncorrected**: -1430 meV per atom

# 5
VASP calculation (meta-GGA SCAN) on a crystal of Dy4MgIr relaxed with PBEsol.

```
24
Lattice="-7.731 0.094 -5.611 -6.161 -7.297 0.234 -8.669 1.190 3.832" Properties=species:S:1:pos:R:3 pbc="T T T"
Dy -9.423 -4.658 -3.360
Dy -9.999 -3.986 2.432
Dy -14.740 -3.928 -1.010
Dy -10.961 0.547 -1.153
Dy -9.061 -1.068 -3.798
Dy -13.500 -4.944 2.252
Dy -12.913 -5.629 -3.652
Dy -9.648 -0.383 2.106
Dy -8.080 -5.688 -0.144
Dy -14.481 -0.324 -1.402
Dy -4.310 -0.341 -2.200
Dy -6.971 -2.665 1.427
Dy -6.619 -3.076 -2.112
Dy -4.662 0.070 1.339
Dy -3.722 -3.111 -0.009
Dy -7.559 0.105 -0.764
Mg -12.248 -2.146 0.574
Mg -11.948 -2.496 -2.441
Mg -9.479 -2.526 -0.649
Mg -11.447 -4.856 -0.575
Ir -15.607 -5.678 -2.990
Ir -16.014 -5.202 1.108
Ir -19.368 -5.161 -1.327
Ir -16.695 -1.995 -1.428
```

**DFT formation energy**: -0.519 eV per atom

# 6
VASP calculation (meta-GGA SCAN) on a crystal of SiRu2Se relaxed with PBEsol.

```
4
Lattice="-2.673 0.977 -0.570 1.608 -1.878 -3.368 -1.949 -3.848 2.536" Properties=species:S:1:pos:R:3 pbc="T T T"
Ru -2.677 -3.152 -0.244
Ru -0.337 -1.597 -1.158
Se -0.974 -1.924 1.268
Si -1.336 0.489 -0.285
```

**E above lowest polymorph**: 54 meV/atom
**Energy relative to the elements, uncorrected**: -46 meV per atom

# 7
VASP calculation (meta-GGA SCAN) on a crystal of HfFeAs2P relaxed with PBEsol.

```
5
Lattice="-0.330 -3.142 2.415 -2.467 -2.302 -3.331 4.029 -1.775 -1.758" Properties=species:S:1:pos:R:3 pbc="T T T"
P 0.000 0.000 0.000
As 2.015 -0.887 -0.879
As -1.234 -1.151 -1.665
Hf 0.616 -3.609 -1.337
Fe -0.165 -1.571 1.208
```

**E above lowest polymorph**: 268 meV/atom
**DFT formation energy**: 0.437 eV per atom

# 8
VASP calculation (meta-GGA SCAN) on a crystal of LaSb2TeSe relaxed with PBEsol.

```
5
Lattice="-2.167 4.518 2.168 -4.762 -1.407 -1.826 -0.952 -2.616 4.499" Properties=species:S:1:pos:R:3 pbc="T T T"
Sb -0.476 -1.308 2.249
Sb -2.381 -0.704 -0.913
Te -1.083 2.259 1.084
Se 0.000 0.000 0.000
La -3.940 0.247 2.420
```

**Energy relative to the elements, uncorrected**: -184 meV per atom

# 9
VASP calculation (meta-GGA SCAN) on a crystal of Y2GeP relaxed with PBEsol.

```
4
Lattice="4.930 0.000 0.000 2.465 4.269 0.000 2.465 1.423 4.025" Properties=species:S:1:pos:R:3 pbc="T T T"
Y 2.465 1.423 1.006
Y 7.395 4.269 3.019
P 0.000 0.000 0.000
Ge 4.930 2.846 2.013
```

**DFT formation energy**: -0.847 eV per atom

# 10
VASP calculation (meta-GGA SCAN) on a crystal of LiLaPt relaxed with PBEsol.

```
3
Lattice="-2.572 0.163 -2.934 -0.189 -4.313 -0.074 -2.714 2.237 2.504" Properties=species:S:1:pos:R:3 pbc="T T T"
La 0.000 0.000 0.000
Pt -2.317 -2.048 -0.682
Li -3.158 0.135 0.177
```

**E above lowest polymorph**: 0 meV/atom
**DFT formation energy**: -0.889 eV per atom

# 11
VASP calculation (meta-GGA SCAN) on a crystal of Sr2H2Pt relaxed with PBEsol.

```
5
Lattice="3.785 0.000 0.000 0.000 3.785 0.000 -1.892 -1.892 6.484" Properties=species:S:1:pos:R:3 pbc="T T T"
Sr 0.000 0.000 4.707
Sr 1.892 1.892 1.777
Pt 0.000 0.000 0.000
H 0.000 1.892 3.242
H 1.892 0.000 3.242
```

**Electronic total energy**: -1.8375 Ry/atom

# 12
VASP calculation (meta-GGA SCAN) on a crystal of V3P2O8 relaxed with PBEsol.

```
52
Lattice="6.216 -0.051 0.000 -1.460 8.174 0.000 0.000 0.000 11.631" Properties=species:S:1:pos:R:3 pbc="T T T"
V 0.858 7.679 7.111
V 3.965 7.653 10.335
V 0.961 5.911 10.596
V 4.069 5.886 6.851
V 1.415 5.060 3.614
V 4.523 5.035 2.201
V 0.233 3.089 9.429
V 3.341 3.063 8.017
V 0.687 2.238 4.780
V 3.795 2.212 1.035
V 0.791 0.470 1.296
V 3.898 0.445 4.520
P -0.679 7.389 4.277
P 2.429 7.364 1.538
P 1.011 4.939 6.800
P 4.119 4.914 10.646
P 0.637 3.210 0.985
P 3.745 3.185 4.831
P 2.327 0.760 10.093
P 5.435 0.735 7.354
O 1.060 7.649 9.238
O 0.654 7.531 5.078
O 4.168 7.624 8.209
O 3.762 7.505 0.737
O 1.144 7.118 0.716
O 4.251 7.093 5.099
O -0.411 6.149 3.379
O -1.012 6.070 10.717
O 2.696 6.124 2.437
O -0.204 5.777 7.254
O 2.096 6.044 6.729
O 2.904 5.752 10.192
O 0.816 4.232 5.429
O 0.252 4.269 2.033
O 3.924 4.207 0.386
O 1.396 3.880 7.848
O 3.360 4.243 3.783
O 0.832 3.916 11.245
O 4.504 3.855 9.598
O 3.940 3.891 6.202
O 1.852 2.372 1.439
O 2.660 2.079 4.902
O 4.960 2.346 4.377
O 2.060 2.000 9.194
O 5.768 2.054 0.913
O 5.167 1.974 8.252
O 0.504 1.031 6.532
O 3.612 1.006 10.915
O 0.994 0.618 10.894
O 0.588 0.500 3.422
O 4.101 0.593 6.553
O 3.696 0.474 2.393
```

**Energy relative to the elements, uncorrected**: -2397 meV per atom

What did the fifth record say?
VASP calculation (meta-GGA SCAN) on a crystal of Dy4MgIr relaxed with PBEsol.

```
24
Lattice="-7.731 0.094 -5.611 -6.161 -7.297 0.234 -8.669 1.190 3.832" Properties=species:S:1:pos:R:3 pbc="T T T"
Dy -9.423 -4.658 -3.360
Dy -9.999 -3.986 2.432
Dy -14.740 -3.928 -1.010
Dy -10.961 0.547 -1.153
Dy -9.061 -1.068 -3.798
Dy -13.500 -4.944 2.252
Dy -12.913 -5.629 -3.652
Dy -9.648 -0.383 2.106
Dy -8.080 -5.688 -0.144
Dy -14.481 -0.324 -1.402
Dy -4.310 -0.341 -2.200
Dy -6.971 -2.665 1.427
Dy -6.619 -3.076 -2.112
Dy -4.662 0.070 1.339
Dy -3.722 -3.111 -0.009
Dy -7.559 0.105 -0.764
Mg -12.248 -2.146 0.574
Mg -11.948 -2.496 -2.441
Mg -9.479 -2.526 -0.649
Mg -11.447 -4.856 -0.575
Ir -15.607 -5.678 -2.990
Ir -16.014 -5.202 1.108
Ir -19.368 -5.161 -1.327
Ir -16.695 -1.995 -1.428
```

**DFT formation energy**: -0.519 eV per atom